PBE ZnFe3Se, optimized geometry; energy above the lowest structure with this stoichiometry = 419.7 meV/atom; total energy = -4.947 eV per atom; space-group type = Pm-3m, No. 221; Fermi-level density of states = 7.82 states/eV per cell; crystal system = cubic
1.0
-1.1222 -2.5641 3.4652
4.1933 0.1809 1.4918
-0.9995 3.6379 2.3682
Se Fe Zn
1 3 1
direct
0.5000 0.5000 0.5000 Se
0.5000 0.0000 0.0000 Fe
0.0000 0.5000 0.0000 Fe
0.0000 0.0000 0.5000 Fe
0.0000 0.0000 0.0000 Zn